Below is a geometry-optimized SrCoBrO2 structure, with properties calculated at the PBE with a Hubbard U level.

abc: 5.645 13.177 5.398
angles: 90.00 90.00 90.00
Space group Cmcm (No. 63)
Inequivalent atoms, fractional coordinates:
Sr1 0.000 0.118 0.250 x4
Co1 0.000 0.488 0.250 x4
Br1 0.000 0.250 0.750 x4
O1 0.222 0.500 0.000 x8

Properties
The calculation puts the final energy at -0.39884 Ry/atom.